(1)
# RbSnB | the Alexandria database | PBE | relaxed
data_RbSnB
_cell_length_a 5.510
_cell_length_b 5.876
_cell_length_c 7.369
_cell_angle_alpha 106.72
_cell_angle_beta 93.04
_cell_angle_gamma 93.55
_symmetry_space_group_name_H-M 'P 1'
_symmetry_Int_Tables_number 1
_symmetry_space_group_name_Hall 'P 1'
loop_
_atom_site_label
_atom_site_fract_x
_atom_site_fract_y
_atom_site_fract_z
Rb1 0.000 0.000 0.000
Rb2 0.456 0.338 0.548
Sn1 0.539 0.497 0.077
Sn2 0.971 0.667 0.383
B1 0.336 0.776 0.292
B2 0.619 0.821 0.347
# - Volume: 227 Å³/cell
# - Energy: -3.572 eV/atom
# - Energy relative to the elements: 0.311 eV per atom
# - Fermi-level density of states: 0.00 states/eV per cell



(2)
# NaSr2Au | the Alexandria database | PBE | relaxed
data_NaSr2Au
_cell_length_a 5.640
_cell_length_b 5.640
_cell_length_c 4.238
_cell_angle_alpha 90.00
_cell_angle_beta 90.00
_cell_angle_gamma 90.00
_symmetry_space_group_name_H-M 'P 4/m m m'
_symmetry_Int_Tables_number 123
_symmetry_space_group_name_Hall '-P 4 2'
loop_
_atom_site_label
_atom_site_fract_x
_atom_site_fract_y
_atom_site_fract_z
Na1 0.000 0.000 0.000
Sr1 0.000 0.500 0.500
Au1 0.500 0.500 0.000
# - Volume: 135 Å³/cell
# - Energy: -2.270 eV/atom
# - Energy relative to the elements: -0.280 eV per atom
# - Fermi-level density of states: 3.10 states/eV per cell



(3)
# CdPd3C | the Alexandria database | PBE | relaxed
data_CdPd3C
_cell_length_a 4.197
_cell_length_b 4.197
_cell_length_c 4.197
_cell_angle_alpha 90.00
_cell_angle_beta 90.00
_cell_angle_gamma 90.00
_symmetry_space_group_name_H-M 'P m -3 m'
_symmetry_Int_Tables_number 221
_symmetry_space_group_name_Hall '-P 4 2 3'
loop_
_atom_site_label
_atom_site_fract_x
_atom_site_fract_y
_atom_site_fract_z
Cd1 0.000 0.000 0.000
Pd1 0.000 0.500 0.500
C1 0.500 0.500 0.500
# - Volume: 74 Å³/cell
# - Energy: -5.107 eV/atom
# - Energy relative to the elements: 0.036 eV per atom
# - Fermi-level density of states: 5.35 states/eV per cell



(4)
# TaTlNi2 | the Alexandria database | PBE | relaxed
data_TaTlNi2
_cell_length_a 6.431
_cell_length_b 6.500
_cell_length_c 2.965
_cell_angle_alpha 90.00
_cell_angle_beta 90.00
_cell_angle_gamma 90.00
_symmetry_space_group_name_H-M 'C m m m'
_symmetry_Int_Tables_number 65
_symmetry_space_group_name_Hall '-C 2 2'
loop_
_atom_site_label
_atom_site_fract_x
_atom_site_fract_y
_atom_site_fract_z
Ta1 0.000 0.000 0.000
Tl1 0.000 0.500 0.000
Ni1 0.250 0.250 0.500
# - Volume: 124 Å³/cell
# - Energy: -6.205 eV/atom
# - Energy relative to the elements: 0.240 eV per atom
# - Fermi-level density of states: 6.78 states/eV per cell



(5)
# Sm6ScCd2 | the Alexandria database | PBE | relaxed
data_Sm6ScCd2
_cell_length_a 12.696
_cell_length_b 3.750
_cell_length_c 11.933
_cell_angle_alpha 90.00
_cell_angle_beta 108.36
_cell_angle_gamma 90.00
_symmetry_space_group_name_H-M 'C 1 2/m 1'
_symmetry_Int_Tables_number 12
_symmetry_space_group_name_Hall '-C 2y'
loop_
_atom_site_label
_atom_site_fract_x
_atom_site_fract_y
_atom_site_fract_z
Sm1 0.022 0.000 0.337
Sm2 0.180 0.500 0.879
Sm3 0.190 0.500 0.591
Sc1 0.000 0.000 0.000
Cd1 0.138 0.500 0.187
# - Volume: 539 Å³/cell
# - Energy: -4.166 eV/atom
# - Energy relative to the elements: -0.113 eV per atom
# - Fermi-level density of states: 19.59 states/eV per cell



(6)
# BeHg | the Alexandria database | PBE | relaxed
data_BeHg
_cell_length_a 4.005
_cell_length_b 13.025
_cell_length_c 3.879
_cell_angle_alpha 90.00
_cell_angle_beta 90.00
_cell_angle_gamma 90.00
_symmetry_space_group_name_H-M 'P m m n'
_symmetry_Int_Tables_number 59
loop_
_symmetry_equiv_pos_as_xyz
'x,y,z'
'-x,-y,-z'
'-x+1/2,-y+1/2,z'
'x+1/2,y+1/2,-z'
'x+1/2,-y,-z'
'-x+1/2,y,z'
'-x,y+1/2,-z'
'x,-y+1/2,z'
loop_
_atom_site_label
_atom_site_fract_x
_atom_site_fract_y
_atom_site_fract_z
Be1 0.250 0.052 0.013
Be2 0.250 0.750 0.265
Hg1 0.250 0.250 0.105
Hg2 0.250 0.590 0.572
# - Volume: 202 Å³/cell
# - Energy: -1.493 eV/atom
# - Energy relative to the elements: 0.521 eV per atom
# - Fermi-level density of states: 4.35 states/eV per cell



(7)
# Ba3Zn2IO6 | the Alexandria database | PBE | relaxed
data_Ba3Zn2IO6
_cell_length_a 6.0097
_cell_length_b 6.0097
_cell_length_c 7.1607
_cell_angle_alpha 90.00
_cell_angle_beta 90.00
_cell_angle_gamma 120.00
_symmetry_space_group_name_H-M 'P -3 m 1'
_symmetry_Int_Tables_number 164
_symmetry_space_group_name_Hall '-P 3 2"'
loop_
_atom_site_label
_atom_site_fract_x
_atom_site_fract_y
_atom_site_fract_z
Ba1 0.0000 0.0000 0.0000
Ba2 0.3333 0.6667 0.6422
Zn1 0.3333 0.6667 0.1612
I1 0.0000 0.0000 0.5000
O1 0.1635 0.3270 0.3230
# - Volume: 224 Å³/cell
# - Formation energy from raw total energies: -1463 meV per atom
# - Energy: -4.764 eV/atom
# - Fermi-level density of states: 4.14 states/eV per cell



(8)
# NbGaPd | the Alexandria database | PBE | relaxed
data_NbGaPd
_cell_length_a 10.001
_cell_length_b 3.267
_cell_length_c 6.153
_cell_angle_alpha 90.00
_cell_angle_beta 105.73
_cell_angle_gamma 90.00
_symmetry_space_group_name_H-M 'C 1 2/m 1'
_symmetry_Int_Tables_number 12
_symmetry_space_group_name_Hall '-C 2y'
loop_
_atom_site_label
_atom_site_fract_x
_atom_site_fract_y
_atom_site_fract_z
Nb1 0.172 0.000 0.100
Ga1 0.015 0.500 0.750
Pd1 0.153 0.000 0.563
# - Volume: 194 Å³/cell
# - Energy: -6.503 eV/atom
# - Energy relative to the elements: -0.406 eV per atom
# - Fermi-level density of states: 2.96 states/eV per cell



(9)
# ReAsSe2O | the Alexandria database | PBE | relaxed
data_ReAsSe2O
_cell_length_a 4.745
_cell_length_b 4.745
_cell_length_c 4.909
_cell_angle_alpha 90.00
_cell_angle_beta 90.00
_cell_angle_gamma 90.00
_symmetry_space_group_name_H-M 'P 4/m m m'
_symmetry_Int_Tables_number 123
_symmetry_space_group_name_Hall '-P 4 2'
loop_
_atom_site_label
_atom_site_fract_x
_atom_site_fract_y
_atom_site_fract_z
Re1 0.000 0.000 0.000
As1 0.000 0.000 0.500
Se1 0.000 0.500 0.000
O1 0.500 0.500 0.500
# - Volume: 111 Å³/cell
# - Formation energy from raw total energies: 916 meV per atom
# - Energy: -4.889 eV/atom
# - Fermi-level density of states: 6.54 states/eV per cell



(10)
# BaGdSc2 | the Alexandria database | PBE | relaxed
data_BaGdSc2
_cell_length_a 3.4537
_cell_length_b 3.4537
_cell_length_c 36.7573
_cell_angle_alpha 90.00
_cell_angle_beta 90.00
_cell_angle_gamma 120.00
_symmetry_space_group_name_H-M 'R -3 m'
_symmetry_Int_Tables_number 166
_symmetry_space_group_name_Hall '-R 3 2"'
loop_
_atom_site_label
_atom_site_fract_x
_atom_site_fract_y
_atom_site_fract_z
Ba1 0.0000 0.0000 0.0000
Gd1 0.0000 0.0000 0.5000
Sc1 0.0000 0.0000 0.0933
# - Volume: 380 Å³/cell
# - Energy: -6.826 eV/atom
# - Energy relative to the elements: 0.341 eV per atom
# - Fermi-level density of states: 21.22 states/eV per cell



(11)
# PdSeN2O | the Alexandria database | PBE | relaxed
data_PdSeN2O
_cell_length_a 3.814
_cell_length_b 3.814
_cell_length_c 4.087
_cell_angle_alpha 90.00
_cell_angle_beta 90.00
_cell_angle_gamma 90.00
_symmetry_space_group_name_H-M 'P 4/m m m'
_symmetry_Int_Tables_number 123
_symmetry_space_group_name_Hall '-P 4 2'
loop_
_atom_site_label
_atom_site_fract_x
_atom_site_fract_y
_atom_site_fract_z
Pd1 0.000 0.000 0.000
Se1 0.500 0.500 0.000
N1 0.000 0.500 0.500
O1 0.500 0.500 0.500
# - Volume: 59 Å³/cell
# - Formation energy from raw total energies: 1985 meV per atom
# - Energy: -4.072 eV/atom
# - Fermi-level density of states: 2.46 states/eV per cell



(12)
# Nd2SmTm9 | the Alexandria database | PBE | relaxed
data_Nd2SmTm9
_cell_length_a 4.994
_cell_length_b 4.994
_cell_length_c 14.983
_cell_angle_alpha 90.00
_cell_angle_beta 90.00
_cell_angle_gamma 90.00
_symmetry_space_group_name_H-M 'P 4/m m m'
_symmetry_Int_Tables_number 123
_symmetry_space_group_name_Hall '-P 4 2'
loop_
_atom_site_label
_atom_site_fract_x
_atom_site_fract_y
_atom_site_fract_z
Nd1 0.000 0.000 0.167
Sm1 0.000 0.000 0.500
Tm1 0.000 0.500 0.000
Tm2 0.000 0.500 0.334
Tm3 0.500 0.500 0.167
Tm4 0.500 0.500 0.500
# - Volume: 374 Å³/cell
# - Energy: -4.514 eV/atom
# - Energy relative to the elements: 0.028 eV per atom
# - Fermi-level density of states: 17.40 states/eV per cell